1.
The following is a DFT calculation (PBE-GGA) of an optimized crystal structure of ZrScHg4.

Cell: 3.298 3.298 12.143 Å, 90.00 90.00 90.00°
Space group P4/mmm (No. 123)
One atom of each set of equivalent atoms:
Zr (0.000, 0.000, 0.000) (multiplicity 1)
Sc (0.500, 0.500, 0.500) (multiplicity 1)
Hg (0.000, 0.000, 0.340) (multiplicity 2)
Hg (0.500, 0.500, 0.164) (multiplicity 2)

Computed properties:
As for the energy above the most stable polymorph in this dataset: 0 meV/atom. The calculation puts the density of states at the Fermi level at 0.490 states/eV per atom. The formation energy is -0.188 eV/atom. For the total energy, the calculation gives -0.1054 Ha/atom. The density comes out at 11.8 g/cm3.

=====

2.
The following is a DFT calculation (PBE-GGA) of an optimized crystal structure of LaHo4Mg5.

Cell: 3.801 3.801 19.177 Å, 90.00 90.00 90.00°
Space group P4/mmm (No. 123)
One atom of each set of equivalent atoms:
La (0.000, 0.000, 0.000) (multiplicity 1)
Ho (0.000, 0.000, 0.208) (multiplicity 2)
Ho (0.000, 0.000, 0.403) (multiplicity 2)
Mg (0.500, 0.500, 0.111) (multiplicity 2)
Mg (0.500, 0.500, 0.305) (multiplicity 2)
Mg (0.500, 0.500, 0.500) (multiplicity 1)

Computed properties:
The calculation puts the density of states at the Fermi level at 1.374 states/eV per atom. The formation energy is -0.078 eV/atom. For the total energy, the calculation gives -0.1176 Ha/atom. The density comes out at 5.5 g/cm3.

=====

3.
The following is a DFT calculation (PBE-GGA) of an optimized crystal structure of HfBeCo4Ge2.

Cell: 3.9863 3.9863 21.2747 Å, 90.00 90.00 120.00°
Space group R-3m (No. 166, hexagonal axes)
One atom of each set of equivalent atoms:
Hf (0.0000, 0.0000, 0.0000) (multiplicity 3)
Be (0.0000, 0.0000, 0.5000) (multiplicity 3)
Co (0.0000, 0.0000, 0.1310) (multiplicity 6)
Co (0.0000, 0.0000, 0.3975) (multiplicity 6)
Ge (0.0000, 0.0000, 0.2456) (multiplicity 6)

Computed properties:
The calculation puts the density of states at the Fermi level at 0.824 states/eV per atom. The formation energy is -0.332 eV/atom. For the total energy, the calculation gives -0.2480 Ha/atom. The density comes out at 9.7 g/cm3.

=====

4.
The following is a DFT calculation (PBE-GGA) of an optimized crystal structure of LaW.

Cell: 3.715 3.715 8.439 Å, 90.00 90.00 90.00°
Space group P4/nmm (No. 129, origin choice 2)
One atom of each set of equivalent atoms:
La (0.250, 0.250, 0.193) (multiplicity 2)
W (0.250, 0.750, 0.500) (multiplicity 2)

Computed properties:
As for the energy above the most stable polymorph in this dataset: 370 meV/atom. The calculation puts the density of states at the Fermi level at 1.499 states/eV per atom. The formation energy is 0.715 eV/atom. For the total energy, the calculation gives -0.3023 Ha/atom. The density comes out at 9.2 g/cm3.

=====

5.
The following is a DFT calculation (PBE-GGA) of an optimized crystal structure of CeIr4.

Cell: 4.807 4.807 4.807 Å, 90.00 90.00 90.00°
Space group Pm-3m (No. 221)
One atom of each set of equivalent atoms:
Ce (0.000, 0.000, 0.000) (multiplicity 1)
Ir (0.000, 0.000, 0.500) (multiplicity 3)
Ir (0.500, 0.500, 0.500) (multiplicity 1)

Computed properties:
As for the energy above the most stable polymorph in this dataset: 2305 meV/atom. The calculation puts the density of states at the Fermi level at 1.893 states/eV per atom. The formation energy is 2.051 eV/atom. For the total energy, the calculation gives -0.2287 Ha/atom. The density comes out at 13.6 g/cm3.

=====

6.
The following is a DFT calculation (PBE-GGA) of an optimized crystal structure of SrLa2Al2.

Cell: 4.873 4.873 13.856 Å, 90.00 90.00 90.00°
Space group I4/mmm (No. 139)
One atom of each set of equivalent atoms:
Sr (0.000, 0.000, 0.000) (multiplicity 2)
La (0.000, 0.500, 0.250) (multiplicity 4)
Al (0.000, 0.000, 0.406) (multiplicity 4)

Computed properties:
As for the energy above the most stable polymorph in this dataset: 104 meV/atom. The calculation puts the density of states at the Fermi level at 1.494 states/eV per atom. The formation energy is -0.097 eV/atom. For the total energy, the calculation gives -0.1434 Ha/atom. The density comes out at 4.2 g/cm3.